Entry i
! Li7Mn2Co3O12 | Alexandria | GGA+U | relaxed; values from VASP
&SYSTEM
  ibrav = 0, nat = 24, ntyp = 4
/
ATOMIC_SPECIES
Li 6.94 Li.upf
Mn 54.94 Mn.upf
Co 58.93 Co.upf
O 16.00 O.upf
CELL_PARAMETERS angstrom
5.0044 0.0000 0.0000
-0.8627 5.0301 0.0000
-0.0291 -2.5010 8.3531
ATOMIC_POSITIONS angstrom
Li 0.0000 0.0000 0.0000
Li -0.0061 -0.8325 2.9098
Li -0.8135 3.3170 5.5525
Li 0.8245 1.0241 4.8786
Li 2.4754 -1.2692 4.2413
Li 2.4963 -0.4188 1.4536
Li 1.6627 2.8969 6.8876
Mn 0.8150 1.8604 2.2016
Mn 3.3099 0.6148 6.2236
Co 0.7981 0.2368 7.5895
Co 3.3176 1.4482 3.5310
Co 3.3380 2.3069 0.7131
O -0.0611 2.5174 3.7509
O -0.0755 1.6486 6.6936
O -0.0408 3.2983 1.1084
O 1.6532 1.2880 0.4731
O 1.6934 0.4515 3.1097
O 1.7411 -0.4889 6.0155
O 2.4329 2.8830 2.4926
O 2.5081 1.2915 7.9239
O 2.6023 2.0516 5.2130
O 4.0470 -0.0006 4.5880
O 4.1161 -0.8465 7.3021
O 4.1965 0.8289 1.8711
! SG: P1, No. 1
! Spin magnetization (μB/cell): 13.9
! V (Å³/f.u.): 210.27

=====

Entry ii
! Li7Mn2Co3O12 | Alexandria | GGA+U | relaxed; values from VASP
&SYSTEM
  ibrav = 0, nat = 24, ntyp = 4
/
ATOMIC_SPECIES
Li 6.94 Li.upf
Mn 54.94 Mn.upf
Co 58.93 Co.upf
O 16.00 O.upf
CELL_PARAMETERS angstrom
2.9206 0.0000 0.0000
-1.2894 7.5710 0.0000
-1.3206 -0.7844 9.6876
ATOMIC_POSITIONS angstrom
Li 0.0000 0.0000 0.0000
Li -1.2926 2.4801 7.1483
Li 0.0143 1.5784 2.2626
Li 0.0531 -0.0894 7.2469
Li 0.1758 6.8210 2.2217
Li 0.2052 5.0441 7.2277
Li 1.6257 4.2813 2.3875
Mn 0.1442 3.3512 4.7570
Mn 0.1447 1.6687 9.6008
Co -1.3362 5.9799 4.7590
Co -1.2355 4.3361 9.5638
Co 1.6093 0.7300 4.7711
O -1.3199 0.9612 8.5236
O -1.3156 4.0997 5.8287
O 0.0852 -0.0191 3.5622
O 0.0207 3.3608 0.9058
O -1.2320 5.7093 8.4880
O 0.1569 1.7392 5.8334
O 0.1333 4.9653 3.6947
O 1.4742 1.0021 1.0455
O 0.0842 3.3565 8.5259
O 0.1842 6.7038 5.9886
O 1.6028 2.6173 3.6880
O 1.6859 5.7638 1.0300
! SG: P1, No. 1
! Spin magnetization (μB/cell): 16.0
! V (Å³/f.u.): 214.21

=====

Q: Which of them is the most stable? A: entry i.